(1)
PmHoBr3 GGA-PBE optimized geometry; energy relative to the elements, uncorrected = -7.543 eV per formula unit; symmetry = C2/m; M_tot = 0.00 μB per atom
1.0
9.215 -1.968 0.000
9.215 1.968 0.000
-6.513 0.000 9.587
Pm Ho Br
2 2 6
Direct
0.138 0.138 0.286
0.862 0.862 0.714
0.428 0.428 0.042
0.572 0.572 0.958
0.035 0.035 0.749
0.211 0.211 0.116
0.335 0.335 0.492
0.665 0.665 0.508
0.789 0.789 0.884
0.965 0.965 0.251

=====

(2)
PmHoBr6 GGA-PBE optimized geometry; energy relative to the elements, uncorrected = -14.719 eV per formula unit; symmetry = C2/m; M_tot = 0.00 μB per atom; density of states at the Fermi level = 0.00 states/eV per atom
1.0
3.522 -6.807 0.000
3.522 6.807 0.000
-2.056 0.000 6.737
Pm Ho Br
1 1 6
Direct
0.000 0.000 0.000
0.500 0.500 0.500
0.116 0.400 0.257
0.253 0.253 0.746
0.400 0.116 0.257
0.600 0.884 0.743
0.747 0.747 0.254
0.884 0.600 0.743

=====

(3)
PmHoBr6 GGA-PBE optimized geometry; energy relative to the elements, uncorrected = -14.589 eV per formula unit; symmetry = R-3; M_tot = 0.00 μB per atom; density of states at the Fermi level = 0.00 states/eV per atom
1.0
3.561 2.056 6.490
-3.561 2.056 6.490
0.000 -4.112 6.490
Pm Ho Br
1 1 6
Direct
0.000 0.000 0.000
0.500 0.500 0.500
0.097 0.744 0.412
0.256 0.588 0.903
0.412 0.097 0.744
0.588 0.903 0.256
0.744 0.412 0.097
0.903 0.256 0.588

=====

(4)
Pm2HoBr GGA-PBE optimized geometry; energy relative to the elements, uncorrected = -2.169 eV per formula unit; symmetry = R-3m; M_tot = 0.00 μB per atom; density of states at the Fermi level = 1.02 states/eV per atom
1.0
1.844 1.064 10.507
-1.844 1.064 10.507
0.000 -2.129 10.507
Pm Ho Br
2 1 1
Direct
0.243 0.243 0.243
0.757 0.757 0.757
0.000 0.000 0.000
0.500 0.500 0.500

=====

(5)
Pm2HoBr GGA-PBE optimized geometry; energy relative to the elements, uncorrected = -1.855 eV per formula unit; symmetry = P4/mmm; M_tot = 0.00 μB per atom; density of states at the Fermi level = 0.90 states/eV per atom
1.0
3.574 0.000 0.000
0.000 3.574 0.000
0.000 0.000 9.631
Pm Ho Br
2 1 1
Direct
0.000 0.000 0.236
0.000 0.000 0.764
0.500 0.500 0.500
0.500 0.500 0.000

=====

(6)
PmHoBr GGA-PBE optimized geometry; energy relative to the elements, uncorrected = -2.223 eV per formula unit; symmetry = P3m1; M_tot = 0.13 μB per atom; density of states at the Fermi level = 1.13 states/eV per atom
1.0
3.751 0.000 0.000
-1.875 3.248 0.000
0.000 0.000 7.407
Pm Ho Br
1 1 1
Direct
0.000 0.000 0.000
0.333 0.667 0.634
0.667 0.333 0.329

=====

(7)
PmHoRhBr GGA-PBE optimized geometry; energy relative to the elements, uncorrected = -4.278 eV per formula unit; symmetry = R3m; M_tot = 0.00 μB per atom; density of states at the Fermi level = 0.07 states/eV per atom
1.0
2.011 1.161 7.786
-2.011 1.161 7.786
0.000 -2.322 7.786
Pm Ho Rh Br
1 1 1 1
Direct
0.000 0.000 0.000
0.795 0.795 0.795
0.400 0.400 0.400
0.228 0.228 0.228

=====

(8)
PmHoSBr GGA-PBE optimized geometry; energy relative to the elements, uncorrected = -5.985 eV per formula unit; symmetry = P1; M_tot = 0.00 μB per atom; density of states at the Fermi level = 0.70 states/eV per atom
1.0
3.846 0.000 0.000
-1.920 3.347 0.000
-1.913 -1.099 7.660
Pm Ho S Br
1 1 1 1
Direct
0.000 0.000 0.000
0.397 0.196 0.597
0.191 0.594 0.787
0.546 0.772 0.319

=====

(9)
PrHoBr GGA-PBE optimized geometry; energy relative to the elements, uncorrected = -2.233 eV per formula unit; symmetry = P3m1; M_tot = 0.14 μB per atom; density of states at the Fermi level = 1.10 states/eV per atom
1.0
3.766 0.000 0.000
-1.883 3.261 0.000
0.000 0.000 7.526
Pr Ho Br
1 1 1
Direct
0.000 0.000 0.000
0.333 0.667 0.634
0.667 0.333 0.337

=====

(10)
Pr2HoBr8 GGA-PBE optimized geometry; energy relative to the elements, uncorrected = -17.722 eV per formula unit; symmetry = C2/m; M_tot = 0.09 μB per atom; density of states at the Fermi level = 0.34 states/eV per atom
1.0
4.384 -6.634 0.000
4.384 6.634 0.000
-2.053 0.000 5.977
Pr Ho Br
2 1 8
Direct
0.193 0.807 0.000
0.807 0.193 0.000
0.500 0.500 0.500
0.147 0.147 0.312
0.159 0.418 0.891
0.289 0.711 0.500
0.418 0.159 0.891
0.582 0.841 0.109
0.711 0.289 0.500
0.841 0.582 0.109
0.853 0.853 0.688

=====

(11)
PrHoBr3 GGA-PBE optimized geometry; energy relative to the elements, uncorrected = -7.551 eV per formula unit; symmetry = C2/m; M_tot = 0.00 μB per atom
1.0
9.242 -1.978 0.000
9.242 1.978 0.000
-6.529 0.000 9.714
Pr Ho Br
2 2 6
Direct
0.139 0.139 0.286
0.861 0.861 0.714
0.428 0.428 0.042
0.572 0.572 0.958
0.037 0.037 0.753
0.211 0.211 0.114
0.337 0.337 0.491
0.663 0.663 0.509
0.789 0.789 0.886
0.963 0.963 0.247

=====

(12)
Ho2PtBr2 GGA-PBE optimized geometry; energy relative to the elements, uncorrected = -7.562 eV per formula unit; symmetry = R-3m; M_tot = 0.00 μB per atom; density of states at the Fermi level = 0.26 states/eV per atom
1.0
1.988 1.148 11.017
-1.988 1.148 11.017
0.000 -2.296 11.017
Ho Pt Br
2 1 2
Direct
0.117 0.117 0.117
0.883 0.883 0.883
0.500 0.500 0.500
0.274 0.274 0.274
0.726 0.726 0.726

=====

Look up the energy relative to the elements, uncorrected of the sixth one. -2.223 eV per formula unit

=====

energy relative to the elements, uncorrected of number 6 (PmHoBr)? -2.223 eV per formula unit

=====

Copy entry 9 word for word.
PrHoBr GGA-PBE optimized geometry; energy relative to the elements, uncorrected = -2.233 eV per formula unit; symmetry = P3m1; M_tot = 0.14 μB per atom; density of states at the Fermi level = 1.10 states/eV per atom
1.0
3.766 0.000 0.000
-1.883 3.261 0.000
0.000 0.000 7.526
Pr Ho Br
1 1 1
Direct
0.000 0.000 0.000
0.333 0.667 0.634
0.667 0.333 0.337